VASP calculation (PBE-GGA) on a geometry-optimized LiAc2Pr structure.

```
4
Lattice="3.736 0.000 0.000 1.868 3.235 0.000 1.868 1.078 12.804" Properties=species:S:1:pos:R:3 pbc="T T T"
Pr 0.000 0.000 0.000
Ac 1.868 1.078 9.247
Ac 5.603 3.235 3.557
Li 3.736 2.157 6.402
```

Computed properties:
The space group is R-3m (166). The energy above the most stable polymorph in this dataset is 237.3 meV/atom.

***

VASP calculation (PBE-GGA) on a geometry-optimized LiAc6Pr structure.

```
8
Lattice="-0.437 4.625 3.151 4.446 -1.633 3.013 8.339 6.584 -3.507" Properties=species:S:1:pos:R:3 pbc="T T T"
Li 0.000 0.000 0.000
Ac 7.176 5.535 2.870
Ac 6.645 7.711 -0.397
Ac 9.086 4.582 -0.466
Ac 5.703 1.865 3.054
Ac 5.172 4.040 -0.213
Ac 3.261 4.993 3.123
Pr 2.004 1.496 3.082
```

Computed properties:
The space group is I4/mmm (139).

***

VASP calculation (PBE-GGA) on a geometry-optimized LiAc6Pr2 structure.

```
9
Lattice="-1.604 -2.829 -2.153 3.487 -0.550 1.658 -12.728 -10.504 23.286" Properties=species:S:1:pos:R:3 pbc="T T T"
Li 1.790 -1.310 0.388
Ac -11.358 -11.519 20.065
Ac -3.720 -5.857 10.469
Ac -8.207 -9.560 18.678
Ac -0.940 -3.563 5.383
Ac -5.428 -7.266 13.592
Ac -1.185 -3.124 1.455
Pr -4.058 -5.495 6.712
Pr -8.484 -9.148 14.809
```

Computed properties:
The space group is P-6m2 (187).

***

VASP calculation (PBE-GGA) on a geometry-optimized LiAc2Pr structure.

```
4
Lattice="3.875 0.000 0.000 1.937 3.356 0.000 1.937 1.119 11.891" Properties=species:S:1:pos:R:3 pbc="T T T"
Li 5.812 3.356 11.877
Ac 1.937 1.119 9.030
Ac 1.937 1.119 2.865
Pr 3.875 2.237 5.957
```

Computed properties:
The space group is R3m (160). The energy above the most stable polymorph in this dataset is 39.1 meV/atom.

***

| no. | calculated formation energy (eV per atom) |
| --- | --- |
| 1 | 0.2885 |
| 2 | 0.0767 |
| 3 | 0.0967 |
| 4 | 0.0903 |